1.
4
Lattice="4.485 -0.006 -0.032 3.751 2.459 -0.032 0.673 0.201 4.397" Properties=species:S:1:pos:R:3 comment="LiCu3 (GGA-PBE, relaxed)" ef_ev_per_atom=-0.036 pbc="T T T"
Cu 4.455 1.327 2.167
Cu 6.733 2.005 3.229
Cu 2.177 0.648 1.104
Li 0.000 0.000 0.000

2.
10
Lattice="4.650 0.000 0.000 -2.325 5.825 0.000 0.000 0.000 6.341" Properties=species:S:1:pos:R:3 comment="Li3Cu7 (GGA-PBE, relaxed)" ef_ev_per_atom=0.201 e_above_lowest_polymorph_mev_per_atom=235 pbc="T T T"
Li 0.000 4.061 3.171
Li 2.325 1.765 3.171
Li 2.325 0.000 0.000
Cu 0.000 1.222 5.119
Cu 2.325 4.603 1.223
Cu 2.325 4.603 5.119
Cu 0.000 1.222 1.223
Cu 1.163 2.913 0.000
Cu -1.163 2.913 0.000
Cu 0.000 0.000 3.171

3.
4
Lattice="-3.151 -1.600 0.905 0.808 -2.865 -2.251 1.608 -1.651 2.679" Properties=species:S:1:pos:R:3 comment="LiCu3 (GGA-PBE, relaxed)" ef_ev_per_atom=-0.029 pbc="T T T"
Cu 0.134 -0.138 0.223
Cu 1.342 -2.396 0.437
Cu -1.038 -2.370 -0.450
Li -0.638 -1.763 2.015

4.
16
Lattice="5.256 0.000 0.000 0.000 4.404 0.000 0.000 0.000 8.404" Properties=species:S:1:pos:R:3 comment="LiCu3 (GGA-PBE, relaxed)" ef_ev_per_atom=-0.032 pbc="T T T"
Cu 0.669 3.944 6.303
Cu 3.297 2.663 2.101
Cu 1.959 1.742 6.303
Cu 4.587 0.460 2.101
Cu 3.285 1.141 0.031
Cu 0.657 1.061 8.373
Cu 4.599 3.343 4.171
Cu 1.971 3.263 4.233
Cu 1.971 3.263 8.373
Cu 4.599 3.343 0.031
Cu 0.657 1.061 4.233
Cu 3.285 1.141 4.171
Li 3.268 3.990 6.303
Li 0.640 2.617 2.101
Li 4.616 1.788 6.303
Li 1.988 0.415 2.101

5.
15
Lattice="-1.655 3.701 -5.300 -6.274 -0.286 -2.253 -3.961 5.291 0.918" Properties=species:S:1:pos:R:3 comment="Li2Cu13 (GGA-PBE, relaxed)" ef_ev_per_atom=0.321 pbc="T T T"
Li -2.816 2.062 -1.571
Li -9.075 6.644 -5.064
Cu -5.945 4.353 -3.318
Cu -5.223 2.065 -2.465
Cu -4.389 4.075 -1.321
Cu -3.557 3.502 -3.563
Cu -8.333 5.204 -3.072
Cu -6.668 6.641 -4.171
Cu -7.502 4.631 -5.314
Cu -4.247 -0.028 -1.568
Cu -2.759 3.557 0.471
Cu -1.277 2.535 -3.526
Cu -10.613 6.171 -3.109
Cu -7.644 8.733 -5.068
Cu -9.131 5.149 -7.107

6.
10
Lattice="0.075 -3.030 -1.887 3.234 -2.108 3.513 -5.858 -0.209 3.479" Properties=species:S:1:pos:R:3 comment="Li3Cu7 (GGA-PBE, relaxed)" ef_ev_per_atom=-0.034 e_above_lowest_polymorph_mev_per_atom=0 pbc="T T T"
Li 0.000 0.000 0.000
Li -2.168 -3.392 1.982
Li -0.380 -1.955 3.123
Cu 1.617 -1.054 1.757
Cu -0.536 -4.469 3.776
Cu -2.013 -0.878 1.330
Cu -0.150 -2.470 0.583
Cu -2.399 -2.876 4.523
Cu 1.432 -3.542 2.366
Cu -3.980 -1.805 2.739

7.
6
Lattice="-0.068 -2.102 -1.897 -0.332 -2.740 3.049 -6.034 1.817 -1.797" Properties=species:S:1:pos:R:3 comment="LiCu5 (GGA-PBE, relaxed)" ef_ev_per_atom=-0.001 e_above_lowest_polymorph_mev_per_atom=28 pbc="T T T"
Cu -2.190 -1.224 1.435
Cu -4.176 0.301 -0.183
Cu -0.200 -2.421 0.576
Cu -2.150 -0.898 -1.041
Cu -4.284 -2.126 0.397
Li 0.000 0.000 0.000

8.
6
Lattice="6.840 -0.012 0.000 -6.357 2.524 0.000 0.000 0.000 4.210" Properties=species:S:1:pos:R:3 comment="LiCu5 (GGA-PBE, relaxed)" ef_ev_per_atom=-0.027 e_above_lowest_polymorph_mev_per_atom=2 pbc="T T T"
Cu -6.354 2.523 0.000
Cu -1.978 1.682 0.000
Cu 2.452 0.831 0.000
Cu -0.512 1.401 2.105
Cu 3.937 0.546 2.105
Li -4.895 2.243 2.105

- What is the formula in the fourth record?
  LiCu3